Here is crystalline Mg2Zr2Tl at its relaxed geometry from Alexandria. Energies are from PBE.

a = 8.186 Å, b = 8.186 Å, c = 3.578 Å
α = 90.00°, β = 90.00°, γ = 90.00°
Fractional coordinates of all 10 atoms:
Tl: 0.000 0.000 0.000
Tl: 0.500 0.500 0.000
Mg: 0.165 0.665 0.500
Mg: 0.665 0.835 0.500
Mg: 0.835 0.335 0.500
Mg: 0.335 0.165 0.500
Zr: 0.367 0.867 0.000
Zr: 0.867 0.633 0.000
Zr: 0.633 0.133 0.000
Zr: 0.133 0.367 0.000

Results
* energy relative to the elements: 0.27 eV/atom
* calculated density: 6.03 Mg/m³
* energy above the most stable polymorph in this dataset: 75 meV per atom
* total DFT energy (no corrections): -42.59 eV per cell


Here is crystalline MgZrTl at its relaxed geometry from Alexandria. Energies are from PBE.

a = 4.182 Å, b = 4.614 Å, c = 7.303 Å
α = 90.00°, β = 106.65°, γ = 90.00°
Fractional coordinates of all 6 atoms:
Mg: 0.479 0.419 0.837
Mg: 0.808 0.419 0.496
Tl: 0.972 0.919 0.822
Tl: 0.156 0.419 0.193
Zr: 0.314 0.919 0.507
Zr: 0.640 0.919 0.160

Results
* energy relative to the elements: -0.10 eV/atom
* calculated density: 7.87 Mg/m³
* total DFT energy (no corrections): -25.63 eV per cell


Here is crystalline MgZrTl at its relaxed geometry from Alexandria. Energies are from PBE.

a = 5.311 Å, b = 3.390 Å, c = 16.127 Å
α = 90.00°, β = 104.40°, γ = 90.00°
Fractional coordinates of all 12 atoms:
Mg: 0.265 0.000 0.001
Mg: 0.265 0.500 0.501
Mg: 0.774 0.000 0.828
Mg: 0.774 0.500 0.328
Zr: 0.185 0.000 0.669
Zr: 0.185 0.500 0.169
Zr: 0.271 0.000 0.331
Zr: 0.271 0.500 0.831
Tl: 0.684 0.000 0.174
Tl: 0.684 0.500 0.674
Tl: 0.765 0.000 0.489
Tl: 0.765 0.500 0.989

Results
* energy relative to the elements: -0.01 eV/atom
* calculated density: 7.56 Mg/m³
* total DFT energy (no corrections): -50.10 eV per cell


Here is crystalline Mg4Zr10Tl at its relaxed geometry from Alexandria. Energies are from PBE.

a = 6.692 Å, b = 8.272 Å, c = 8.272 Å
α = 80.58°, β = 66.14°, γ = 66.14°
Fractional coordinates of all 15 atoms:
Mg: 0.402 0.799 0.397
Mg: 0.799 0.603 0.799
Mg: 0.201 0.397 0.201
Mg: 0.598 0.201 0.603
Zr: 0.250 0.500 0.500
Zr: 0.645 0.308 0.898
Zr: 0.047 0.102 0.308
Zr: 0.457 0.898 0.692
Zr: 0.851 0.692 0.102
Zr: 0.355 0.692 0.102
Zr: 0.750 0.500 0.500
Zr: 0.149 0.308 0.898
Zr: 0.543 0.102 0.308
Zr: 0.953 0.898 0.692
Tl: 0.000 0.000 0.000

Results
* energy relative to the elements: 0.65 eV/atom
* calculated density: 5.26 Mg/m³
* total DFT energy (no corrections): -84.42 eV per cell


Here is crystalline MgZrTl at its relaxed geometry from Alexandria. Energies are from PBE.

a = 5.554 Å, b = 3.186 Å, c = 7.745 Å
α = 90.00°, β = 89.93°, γ = 90.00°
Fractional coordinates of all 6 atoms:
Mg: 0.570 0.500 0.164
Mg: 0.754 0.000 0.496
Zr: 0.250 0.500 0.501
Zr: 0.920 0.500 0.832
Tl: 0.072 0.000 0.171
Tl: 0.432 0.000 0.822

Results
* energy relative to the elements: -0.02 eV/atom
* calculated density: 7.75 Mg/m³
* total DFT energy (no corrections): -25.14 eV per cell


Here is crystalline MgZrTl4 at its relaxed geometry from Alexandria. Energies are from PBE.

a = 6.161 Å, b = 6.161 Å, c = 6.161 Å
α = 60.00°, β = 60.00°, γ = 60.00°
Last column: magnetic moment on the atom in μB.
Fractional coordinates of all 6 atoms:
Mg: 0.000 0.000 0.000  0.01
Zr: 0.750 0.750 0.750  0.92
Tl: 0.875 0.375 0.375  0.02
Tl: 0.375 0.375 0.875  0.02
Tl: 0.375 0.875 0.375  0.02
Tl: 0.375 0.375 0.375  0.02

Results
* energy relative to the elements: 0.43 eV/atom
* calculated density: 9.37 Mg/m³
* total DFT energy (no corrections): -17.04 eV per cell


Here is crystalline MgZr2Tl at its relaxed geometry from Alexandria. Energies are from PBE.

a = 6.974 Å, b = 5.480 Å, c = 3.188 Å
α = 89.97°, β = 62.84°, γ = 120.23°
Fractional coordinates of all 4 atoms:
Tl: 0.500 0.500 0.000
Mg: 0.000 0.500 0.500
Zr: 0.000 0.000 0.000
Zr: 0.500 0.000 0.500

Results
* energy relative to the elements: -0.05 eV/atom
* calculated density: 7.64 Mg/m³
* total DFT energy (no corrections): -21.27 eV per cell


Here is crystalline MgZrTl at its relaxed geometry from Alexandria. Energies are from PBE.

a = 4.875 Å, b = 4.875 Å, c = 4.875 Å
α = 60.00°, β = 60.00°, γ = 60.00°
Fractional coordinates of all 3 atoms:
Mg: 0.000 0.000 0.000
Tl: 0.500 0.500 0.500
Zr: 0.250 0.250 0.250

Results
* energy relative to the elements: 0.48 eV/atom
* calculated density: 6.49 Mg/m³
* total DFT energy (no corrections): -11.08 eV per cell


Here is crystalline MgZrTl at its relaxed geometry from Alexandria. Energies are from PBE.

a = 8.126 Å, b = 7.861 Å, c = 3.196 Å
α = 83.15°, β = 73.86°, γ = 22.98°
Fractional coordinates of all 3 atoms:
Mg: 0.999 0.999 0.001
Tl: 0.335 0.335 0.665
Zr: 0.666 0.666 0.334

Results
* energy relative to the elements: 0.06 eV/atom
* calculated density: 7.45 Mg/m³
* total DFT energy (no corrections): -12.32 eV per cell


Here is crystalline MgZr2Tl at its relaxed geometry from Alexandria. Energies are from PBE.

a = 5.735 Å, b = 5.735 Å, c = 5.379 Å
α = 68.60°, β = 68.60°, γ = 33.60°
Fractional coordinates of all 4 atoms:
Tl: 0.752 0.752 0.682
Mg: 0.495 0.495 0.566
Zr: 0.001 0.001 0.063
Zr: 0.252 0.252 0.189

Results
* energy relative to the elements: -0.04 eV/atom
* calculated density: 7.54 Mg/m³
* total DFT energy (no corrections): -21.22 eV per cell


Here is crystalline MgZr2Tl at its relaxed geometry from Alexandria. Energies are from PBE.

a = 3.818 Å, b = 3.818 Å, c = 6.145 Å
α = 90.00°, β = 90.00°, γ = 90.00°
Fractional coordinates of all 4 atoms:
Tl: 0.500 0.500 0.500
Mg: 0.500 0.500 0.000
Zr: 0.000 0.000 0.749
Zr: 0.000 0.000 0.251

Results
* energy relative to the elements: 0.01 eV/atom
* calculated density: 7.62 Mg/m³
* total DFT energy (no corrections): -21.00 eV per cell


Here is crystalline MgZr2Tl at its relaxed geometry from Alexandria. Energies are from PBE.

a = 3.286 Å, b = 4.346 Å, c = 6.431 Å
α = 90.00°, β = 90.00°, γ = 90.00°
Fractional coordinates of all 4 atoms:
Mg: 0.000 0.000 0.497
Tl: 0.500 0.500 0.745
Zr: 0.000 0.000 0.012
Zr: 0.500 0.500 0.246

Results
* energy relative to the elements: 0.00 eV/atom
* calculated density: 7.43 Mg/m³
* total DFT energy (no corrections): -21.07 eV per cell